1.
# SrTbCu

A geometry-optimized SrTbCu structure (PBE, OQMD).

Lattice parameters (Å, degrees): 5.0518 5.0518 5.0518 60.00 60.00 60.00
Fractional positions:
Cu (0.0000, 0.0000, 0.0000)
Sr (0.2500, 0.2500, 0.2500)
Tb (0.7500, 0.7500, 0.7500)

## Properties
- Uncorrected energy: -3.126 eV/atom

***

2.
# SrThCu

A geometry-optimized SrThCu structure (PBE, OQMD).

Lattice parameters (Å, degrees): 5.0735 5.0735 5.0735 60.00 60.00 60.00
Fractional positions:
Cu (0.0000, 0.0000, 0.0000)
Sr (0.2500, 0.2500, 0.2500)
Th (0.7500, 0.7500, 0.7500)

## Properties
- Uncorrected energy: -3.844 eV/atom
- Polymorph energy (0 for the lowest one): 0.0 meV/atom

***

3.
# SrTmCu

A geometry-optimized SrTmCu structure (PBE, OQMD).

Lattice parameters (Å, degrees): 5.0454 5.0454 5.0454 60.00 60.00 60.00
Fractional positions:
Cu (0.0000, 0.0000, 0.0000)
Sr (0.2500, 0.2500, 0.2500)
Tm (0.7500, 0.7500, 0.7500)

## Properties
- Uncorrected energy: -3.065 eV/atom
- Polymorph energy (0 for the lowest one): 0.0 meV/atom

***

4.
# SrUCu

A geometry-optimized SrUCu structure (PBE, OQMD).

Lattice parameters (Å, degrees): 4.9844 4.9844 4.9844 60.00 60.00 60.00
Fractional positions:
Cu (0.0000, 0.0000, 0.0000)
Sr (0.2500, 0.2500, 0.2500)
U (0.7500, 0.7500, 0.7500)

## Properties
- Uncorrected energy: -4.597 eV/atom
- Polymorph energy (0 for the lowest one): 0.0 meV/atom